## AlNi5 (GGA-PBE)

Data for a geometry-optimized AlNi5 structure.

Its total magnetization is 2.0 μB per formula unit. Its energy of formation is -183.4 meV per atom. For the energy above the most stable polymorph in this dataset, the calculation gives 94 meV per atom. The calculation puts the calculated volume at 67.7 Å³ per cell.

The structure belongs to space group P4/mmm (No. 123); the cell edges are 2.604, 2.604 and 9.979 Å and the angles 90.00°, 90.00° and 90.00°. The asymmetric unit holds Al at (0.000, 0.000, 0.000), Ni at (0.000, 0.000, 0.336), Ni at (0.500, 0.500, 0.166) and Ni at (0.500, 0.500, 0.500).

## AlNi2 (GGA-PBE)

Data for a geometry-optimized AlNi2 structure.

Its total magnetization is 0.0 μB per formula unit. Its energy of formation is -220.3 meV per atom. The calculation puts the calculated volume at 147.6 Å³ per cell.

The structure belongs to space group I4/mcm (No. 140); the cell edges are 5.415, 5.415 and 5.035 Å and the angles 90.00°, 90.00° and 90.00°. The asymmetric unit holds Al at (0.000, 0.000, 0.250) and Ni at (0.155, 0.345, 0.000).

## Al3Ni (GGA-PBE)

Data for a geometry-optimized Al3Ni structure.

Its total magnetization is 0.0 μB per formula unit. Its energy of formation is -295.2 meV per atom. The calculation puts the calculated volume at 123.6 Å³ per cell.

The structure belongs to space group Immm (No. 71); the cell edges are 2.652, 4.102 and 11.365 Å and the angles 90.00°, 90.00° and 90.00°. The asymmetric unit holds Al at (0.000, 0.000, 0.000), Al at (0.000, 0.500, 0.188) and Ni at (0.000, 0.000, 0.500).

## Al2Ni13 (GGA-PBE)

Data for a geometry-optimized Al2Ni13 structure.

Its total magnetization is 4.5 μB per formula unit. Its energy of formation is -198.4 meV per atom. The calculation puts the calculated volume at 166.7 Å³ per cell.

The structure belongs to space group P-1 (No. 2); the cell edges are 5.563, 5.618 and 6.150 Å and the angles 68.27°, 69.10° and 84.19°. The asymmetric unit holds Al at (0.143, 0.465, 0.285), Ni at (0.000, 0.000, 0.500), Ni at (0.069, 0.740, 0.898), Ni at (0.196, 0.204, 0.697), Ni at (0.268, 0.937, 0.100), Ni at (0.332, 0.668, 0.501), Ni at (0.398, 0.400, 0.893) and Ni at (0.469, 0.131, 0.298).

## AlNi2 (GGA-PBE)

Data for a geometry-optimized AlNi2 structure.

Its total magnetization is 0.0 μB per formula unit. Its energy of formation is -257.6 meV per atom. The calculation puts the calculated volume at 147.8 Å³ per cell.

The structure belongs to space group I4_1/amd (No. 141, origin choice 2); the cell edges are 2.667, 2.667 and 20.776 Å and the angles 90.00°, 90.00° and 90.00°. The asymmetric unit holds Al at (0.000, 0.250, 0.375) and Ni at (0.000, 0.250, 0.800).

## AlNi2 (GGA-PBE)

Data for a geometry-optimized AlNi2 structure.

Its total magnetization is 0.0 μB per formula unit. Its energy of formation is -392.5 meV per atom. The calculation puts the calculated volume at 141.5 Å³ per cell.

The structure belongs to space group Cm (No. 8); the cell edges are 9.171, 2.684 and 5.900 Å and the angles 90.00°, 102.99° and 90.00°. The asymmetric unit holds Al at (0.000, 0.000, 0.000), Al at (0.197, 0.500, 0.374), Ni at (0.133, 0.500, 0.758), Ni at (0.289, 0.000, 0.088), Ni at (0.352, 0.000, 0.684) and Ni at (0.477, 0.500, 0.413).

## Al3Ni13 (GGA-PBE)

Data for a geometry-optimized Al3Ni13 structure.

Its total magnetization is 2.8 μB per formula unit. Its energy of formation is -226.7 meV per atom. The calculation puts the calculated volume at 361.2 Å³ per cell.

The structure belongs to space group Amm2 (No. 38); the cell edges are 5.122, 8.120 and 8.686 Å and the angles 90.00°, 90.00° and 90.00°. The asymmetric unit holds Al at (0.000, 0.000, 0.000), Al at (0.254, 0.000, 0.721), Ni at (0.000, 0.000, 0.478), Ni at (0.000, 0.247, 0.654), Ni at (0.249, 0.246, 0.902), Ni at (0.254, 0.000, 0.236), Ni at (0.500, 0.000, 0.480), Ni at (0.500, 0.000, 0.978) and Ni at (0.500, 0.247, 0.149).

## Al3Ni (GGA-PBE)

Data for a geometry-optimized Al3Ni structure.

Its total magnetization is 0.0 μB per formula unit. Its energy of formation is -241.1 meV per atom. The calculation puts the calculated volume at 174.8 Å³ per cell.

The structure belongs to space group R-3m (No. 166, hexagonal axes); the cell edges are 2.8659, 2.8659 and 24.5811 Å and the angles 90.00°, 90.00° and 120.00°. The asymmetric unit holds Al at (0.0000, 0.0000, 0.0000), Al at (0.0000, 0.0000, 0.2410) and Ni at (0.0000, 0.0000, 0.5000).

## Al4Ni3 (GGA-PBE)

Data for a geometry-optimized Al4Ni3 structure.

Its total magnetization is 0.0 μB per formula unit. Its energy of formation is -337.3 meV per atom. For the energy above the most stable polymorph in this dataset, the calculation gives 292 meV per atom. The calculation puts the calculated volume at 93.0 Å³ per cell.

The structure belongs to space group P6/mmm (No. 191); the cell edges are 4.8114, 4.8114 and 4.6363 Å and the angles 90.00°, 90.00° and 120.00°. The asymmetric unit holds Al at (0.0000, 0.0000, 0.2464), Al at (0.3333, 0.6667, 0.5000) and Ni at (0.0000, 0.5000, 0.0000).

## Al3Ni (GGA-PBE)

Data for a geometry-optimized Al3Ni structure.

Its total magnetization is 0.0 μB per formula unit. Its energy of formation is -215.7 meV per atom. The calculation puts the calculated volume at 114.0 Å³ per cell.

The structure belongs to space group I4/mmm (No. 139); the cell edges are 3.828, 3.828 and 7.779 Å and the angles 90.00°, 90.00° and 90.00°. The asymmetric unit holds Al at (0.000, 0.000, 0.000), Al at (0.000, 0.500, 0.250) and Ni at (0.000, 0.000, 0.500).

## AlNi2 (GGA-PBE)

Data for a geometry-optimized AlNi2 structure.

Its total magnetization is 0.0 μB per formula unit. Its energy of formation is -472.5 meV per atom. The calculation puts the calculated volume at 139.8 Å³ per cell.

The structure belongs to space group Cmcm (No. 63); the cell edges are 3.376, 11.106 and 3.730 Å and the angles 90.00°, 90.00° and 90.00°. The asymmetric unit holds Al at (0.000, 0.093, 0.250), Ni at (0.000, 0.251, 0.750) and Ni at (0.000, 0.418, 0.250).

## Al5Ni4 (GGA-PBE)

Data for a geometry-optimized Al5Ni4 structure.

Its total magnetization is 0.0 μB per formula unit. Its energy of formation is -506.5 meV per atom. For the energy above the most stable polymorph in this dataset, the calculation gives 0 meV per atom. The calculation puts the calculated volume at 229.5 Å³ per cell.

The structure belongs to space group P6_3/mcm (No. 193); the cell edges are 7.2378, 7.2378 and 5.0586 Å and the angles 90.00°, 90.00° and 120.00°. The asymmetric unit holds Al at (0.0000, 0.2869, 0.2500), Al at (0.3333, 0.6667, 0.0000), Ni at (0.0000, 0.0000, 0.0000) and Ni at (0.0000, 0.3828, 0.7500).